1.
# TcW (GGA-PBE, optimized geometry)
# - Space group: No. 65
# - Calculated volume: 15.46 Å³ per atom
# - Formation energy from the elements: 0.11 eV per atom
# - Energy above the most stable polymorph in this dataset: 0.042 eV per atom
# - Magnetization: 0.0 μB/cell
data_TcW
_symmetry_space_group_name_H-M 'P 1'
_symmetry_Int_Tables_number 1
_cell_length_a 2.746
_cell_length_b 2.746
_cell_length_c 4.380
_cell_angle_alpha 90.00
_cell_angle_beta 90.00
_cell_angle_gamma 110.65
loop_
_symmetry_equiv_pos_as_xyz
'x,y,z'
loop_
_atom_site_label
_atom_site_type_symbol
_atom_site_fract_x
_atom_site_fract_y
_atom_site_fract_z
_atom_site_occupancy
Tc1 Tc 0.000 0.000 0.000 1
W1 W 0.500 0.500 0.500 1

=====

2.
# CdCoCu2 (GGA-PBE, optimized geometry)
# - Space group: No. 8
# - Calculated volume: 13.86 Å³ per atom
# - Formation energy from the elements: 0.25 eV per atom
# - Magnetization: 1.4 μB/cell
data_CdCoCu2
_symmetry_space_group_name_H-M 'P 1'
_symmetry_Int_Tables_number 1
_cell_length_a 4.640
_cell_length_b 4.640
_cell_length_c 4.676
_cell_angle_alpha 100.73
_cell_angle_beta 100.73
_cell_angle_gamma 34.15
loop_
_symmetry_equiv_pos_as_xyz
'x,y,z'
loop_
_atom_site_label
_atom_site_type_symbol
_atom_site_fract_x
_atom_site_fract_y
_atom_site_fract_z
_atom_site_occupancy
Cd1 Cd 0.000 0.000 0.000 1
Co1 Co 0.243 0.243 0.728 1
Cu1 Cu 0.502 0.502 0.504 1
Cu2 Cu 0.758 0.758 0.271 1

=====

3.
# PmSmTm2In4 (GGA-PBE, optimized geometry)
# - Space group: No. 166
# - Calculated volume: 27.02 Å³ per atom
# - Formation energy from the elements: -0.46 eV per atom
# - Magnetization: 0.0 μB/cell
data_PmSmTm2In4
_symmetry_space_group_name_H-M 'P 1'
_symmetry_Int_Tables_number 1
_cell_length_a 9.275
_cell_length_b 9.275
_cell_length_c 9.275
_cell_angle_alpha 33.48
_cell_angle_beta 33.48
_cell_angle_gamma 33.48
loop_
_symmetry_equiv_pos_as_xyz
'x,y,z'
loop_
_atom_site_label
_atom_site_type_symbol
_atom_site_fract_x
_atom_site_fract_y
_atom_site_fract_z
_atom_site_occupancy
Pm1 Pm 0.000 0.000 0.000 1
Sm1 Sm 0.500 0.500 0.500 1
Tm1 Tm 0.250 0.250 0.250 1
Tm2 Tm 0.750 0.750 0.750 1
In1 In 0.125 0.125 0.125 1
In2 In 0.375 0.375 0.375 1
In3 In 0.625 0.625 0.625 1
In4 In 0.875 0.875 0.875 1

=====

4.
# PrSb4Pd12 (GGA-PBE, optimized geometry)
# - Energy relative to the elements, uncorrected: -0.172 eV/atom
# - Space group: No. 204
# - Calculated volume: 21.01 Å³ per atom
# - Magnetization: 0.0 μB/cell
data_PrSb4Pd12
_symmetry_space_group_name_H-M 'P 1'
_symmetry_Int_Tables_number 1
_cell_length_a 7.741
_cell_length_b 7.741
_cell_length_c 7.741
_cell_angle_alpha 109.47
_cell_angle_beta 109.47
_cell_angle_gamma 109.47
loop_
_symmetry_equiv_pos_as_xyz
'x,y,z'
loop_
_atom_site_label
_atom_site_type_symbol
_atom_site_fract_x
_atom_site_fract_y
_atom_site_fract_z
_atom_site_occupancy
Pr1 Pr 0.000 0.000 0.000 1
Sb1 Sb 0.000 0.000 0.500 1
Sb2 Sb 0.000 0.500 0.000 1
Sb3 Sb 0.500 0.000 0.000 1
Sb4 Sb 0.500 0.500 0.500 1
Pd1 Pd 0.153 0.350 0.503 1
Pd2 Pd 0.153 0.650 0.803 1
Pd3 Pd 0.197 0.847 0.350 1
Pd4 Pd 0.350 0.197 0.847 1
Pd5 Pd 0.350 0.503 0.153 1
Pd6 Pd 0.497 0.847 0.650 1
Pd7 Pd 0.503 0.153 0.350 1
Pd8 Pd 0.650 0.497 0.847 1
Pd9 Pd 0.650 0.803 0.153 1
Pd10 Pd 0.803 0.153 0.650 1
Pd11 Pd 0.847 0.350 0.197 1
Pd12 Pd 0.847 0.650 0.497 1

=====

5.
# ErThFeCo (GGA-PBE, optimized geometry)
# - Space group: No. 216
# - Calculated volume: 19.44 Å³ per atom
# - Formation energy from the elements: -0.04 eV per atom
# - Magnetization: 0.8 μB/cell
data_ErThFeCo
_symmetry_space_group_name_H-M 'P 1'
_symmetry_Int_Tables_number 1
_cell_length_a 4.791
_cell_length_b 4.791
_cell_length_c 4.791
_cell_angle_alpha 60.00
_cell_angle_beta 60.00
_cell_angle_gamma 60.00
loop_
_symmetry_equiv_pos_as_xyz
'x,y,z'
loop_
_atom_site_label
_atom_site_type_symbol
_atom_site_fract_x
_atom_site_fract_y
_atom_site_fract_z
_atom_site_occupancy
Er1 Er 0.000 0.000 0.000 1
Th1 Th 0.500 0.500 0.500 1
Fe1 Fe 0.750 0.750 0.750 1
Co1 Co 0.250 0.250 0.250 1

=====

6.
# LiCeP (GGA-PBE, optimized geometry)
# - Space group: No. 51
# - Calculated volume: 20.78 Å³ per atom
# - Formation energy from the elements: -0.82 eV per atom
# - Magnetization: 6.3 μB/cell
data_LiCeP
_symmetry_space_group_name_H-M 'P 1'
_symmetry_Int_Tables_number 1
_cell_length_a 13.774
_cell_length_b 4.105
_cell_length_c 6.615
_cell_angle_alpha 90.00
_cell_angle_beta 90.00
_cell_angle_gamma 90.00
loop_
_symmetry_equiv_pos_as_xyz
'x,y,z'
loop_
_atom_site_label
_atom_site_type_symbol
_atom_site_fract_x
_atom_site_fract_y
_atom_site_fract_z
_atom_site_occupancy
Li1 Li 0.139 0.000 0.027 1
Li2 Li 0.250 0.000 0.679 1
Li3 Li 0.361 0.000 0.027 1
Li4 Li 0.639 0.000 0.973 1
Li5 Li 0.750 0.000 0.321 1
Li6 Li 0.861 0.000 0.973 1
Ce1 Ce 0.037 0.500 0.690 1
Ce2 Ce 0.250 0.500 0.322 1
Ce3 Ce 0.463 0.500 0.690 1
Ce4 Ce 0.537 0.500 0.310 1
Ce5 Ce 0.750 0.500 0.678 1
Ce6 Ce 0.963 0.500 0.310 1
P1 P 0.113 0.000 0.403 1
P2 P 0.250 0.500 0.887 1
P3 P 0.387 0.000 0.403 1
P4 P 0.613 0.000 0.597 1
P5 P 0.750 0.500 0.113 1
P6 P 0.887 0.000 0.597 1

=====

7.
# CsYMo2 (GGA-PBE, optimized geometry)
# - Space group: No. 122
# - Calculated volume: 24.61 Å³ per atom
# - Formation energy from the elements: 2.01 eV per atom
# - Energy above the most stable polymorph in this dataset: 0.143 eV per atom
# - Magnetization: 0.0 μB/cell
data_CsYMo2
_symmetry_space_group_name_H-M 'P 1'
_symmetry_Int_Tables_number 1
_cell_length_a 6.538
_cell_length_b 6.538
_cell_length_c 6.538
_cell_angle_alpha 100.86
_cell_angle_beta 100.86
_cell_angle_gamma 128.56
loop_
_symmetry_equiv_pos_as_xyz
'x,y,z'
loop_
_atom_site_label
_atom_site_type_symbol
_atom_site_fract_x
_atom_site_fract_y
_atom_site_fract_z
_atom_site_occupancy
Cs1 Cs 0.000 0.000 0.000 1
Cs2 Cs 0.750 0.250 0.500 1
Y1 Y 0.250 0.750 0.500 1
Y2 Y 0.500 0.500 0.000 1
Mo1 Mo 0.126 0.625 0.001 1
Mo2 Mo 0.375 0.376 0.501 1
Mo3 Mo 0.624 0.125 0.999 1
Mo4 Mo 0.875 0.874 0.499 1